Entry P
DFT (PBE-GGA) results for crystalline ZnPIN2 at its relaxed geometry.

Unit cell a=3.932 b=3.932 c=7.104 alpha=90.00 beta=90.00 gamma=90.00
Each line ends with the local moment (μB).
Element x y z (fractional)
Zn 0.000 0.000 0.000  0.03
N 0.000 0.500 0.000  1.11
N 0.500 0.000 0.000  1.11
P 0.500 0.500 0.500  0.15
I 0.000 0.000 0.500  0.01

Values from the calculation:
As for the symmetry: P4/mmm (123). The density is 3.8 g/cm3.


Entry Q
DFT (PBE-GGA) results for crystalline ZnPIN2 at its relaxed geometry.

Unit cell a=3.607 b=3.607 c=7.088 alpha=90.00 beta=90.00 gamma=90.00
Each line ends with the local moment (μB).
Element x y z (fractional)
I 0.000 0.000 0.500  0.00
Zn 0.500 0.500 0.500  -0.01
P 0.000 0.000 0.000  -0.01
N 0.000 0.500 0.000  0.21
N 0.500 0.000 0.000  0.21

Values from the calculation:
As for the symmetry: P4/mmm (123). The density is 4.5 g/cm3.


Stability check: which of them is most stable? entry Q.


Entry P
DFT (PBE-GGA) results for crystalline ZrPIN2 at its relaxed geometry.

Unit cell a=4.152 b=4.152 c=6.335 alpha=90.00 beta=90.00 gamma=90.00
Each line ends with the local moment (μB).
Element x y z (fractional)
I 0.000 0.000 0.500  0.03
N 0.000 0.500 0.000  -0.08
Zr 0.000 0.000 0.000  0.04
N 0.500 0.000 0.000  -0.08
P 0.500 0.500 0.500  0.48

Values from the calculation:
As for the symmetry: P4/mmm (123). The density is 4.2 g/cm3.


Entry Q
DFT (PBE-GGA) results for crystalline ZrPIN2 at its relaxed geometry.

Unit cell a=3.940 b=3.940 c=4.995 alpha=90.00 beta=90.00 gamma=90.00
Element x y z (fractional)
P 0.000 0.000 0.000
Zr 0.500 0.500 0.500
I 0.000 0.000 0.500
N 0.500 0.000 0.000
N 0.000 0.500 0.000

Values from the calculation:
As for the symmetry: P4/mmm (123). The density is 5.9 g/cm3.


Stability check: which of them is most stable? entry P.


Entry P
DFT (PBE-GGA) results for crystalline PbIN2 at its relaxed geometry.

Unit cell a=6.141 b=6.250 c=8.519 alpha=83.79 beta=69.86 gamma=35.46
Element x y z (fractional)
I 0.631 0.052 0.183
N 0.888 0.199 0.637
Pb 0.379 0.789 0.183
N 0.801 0.386 0.736

Values from the calculation:
As for the symmetry: P1 (1). The density is 3.6 g/cm3.


Entry Q
DFT (PBE-GGA) results for crystalline PbIN2 at its relaxed geometry.

Unit cell a=6.026 b=6.026 c=6.158 alpha=60.70 beta=60.70 gamma=90.00
Element x y z (fractional)
N 0.653 0.125 0.250
Pb 0.000 0.000 0.000
N 0.875 0.903 0.750
N 0.097 0.625 0.250
I 0.250 0.750 0.500
Pb 0.750 0.250 0.500
I 0.500 0.500 0.000
N 0.375 0.347 0.750

Values from the calculation:
As for the symmetry: I-42d (122). The density is 7.4 g/cm3.


Stability check: which of them is most stable? entry P.


Entry P
DFT (PBE-GGA) results for crystalline PbIN2 at its relaxed geometry.

Unit cell a=4.547 b=4.547 c=4.547 alpha=60.00 beta=60.00 gamma=60.00
Element x y z (fractional)
Pb 0.500 0.500 0.500
N 0.750 0.750 0.750
I 0.000 0.000 0.000
N 0.250 0.250 0.250

Values from the calculation:
As for the symmetry: Fm-3m (225). The density is 9.0 g/cm3.


Entry Q
DFT (PBE-GGA) results for crystalline PbIN2 at its relaxed geometry.

Unit cell a=7.057 b=7.057 c=7.057 alpha=29.41 beta=29.41 gamma=29.41
Element x y z (fractional)
Pb 0.500 0.500 0.500
N 0.108 0.108 0.108
I 0.000 0.000 0.000
N 0.892 0.892 0.892

Values from the calculation:
As for the symmetry: R-3m (166). The density is 8.0 g/cm3.


Stability check: which of them is most stable? entry Q.


Entry P
DFT (PBE-GGA) results for crystalline Pb3IN at its relaxed geometry.

Unit cell a=5.997 b=5.997 c=5.997 alpha=90.00 beta=90.00 gamma=90.00
Element x y z (fractional)
N 0.500 0.500 0.500
Pb 0.000 0.500 0.000
Pb 0.000 0.000 0.500
I 0.000 0.000 0.000
Pb 0.500 0.000 0.000

Values from the calculation:
As for the symmetry: Pm-3m (221). The density is 5.9 g/cm3.


Entry Q
DFT (PBE-GGA) results for crystalline Pb3IN at its relaxed geometry.

Unit cell a=5.242 b=5.242 c=5.242 alpha=90.00 beta=90.00 gamma=90.00
Element x y z (fractional)
Pb 0.000 0.500 0.000
Pb 0.500 0.000 0.000
I 0.500 0.500 0.500
N 0.000 0.000 0.000
Pb 0.000 0.000 0.500

Values from the calculation:
As for the symmetry: Pm-3m (221). The density is 8.8 g/cm3.


Stability check: which of them is most stable? entry Q.


Entry P
DFT (PBE-GGA) results for crystalline PdPbI2N at its relaxed geometry.

Unit cell a=6.141 b=6.141 c=4.268 alpha=90.00 beta=90.00 gamma=90.00
Each line ends with the local moment (μB).
Element x y z (fractional)
I 0.000 0.500 0.000  0.11
Pd 0.500 0.500 0.500  0.54
N 0.000 0.000 0.500  0.65
I 0.500 0.000 0.000  0.11
Pb 0.000 0.000 0.000  -0.02

Values from the calculation:
As for the symmetry: P4/mmm (123). The density is 6.0 g/cm3.


Entry Q
DFT (PBE-GGA) results for crystalline PdPbI2N at its relaxed geometry.

Unit cell a=5.980 b=5.980 c=3.808 alpha=90.00 beta=90.00 gamma=90.00
Element x y z (fractional)
I 0.000 0.500 0.000
Pd 0.000 0.000 0.000
I 0.500 0.000 0.000
Pb 0.500 0.500 0.500
N 0.000 0.000 0.500

Values from the calculation:
As for the symmetry: P4/mmm (123). The density is 7.1 g/cm3.


Stability check: which of them is most stable? entry Q.